DFT (PBE) results for crystalline LiSi2WI at its relaxed geometry.

Values from the calculation:
- Raw formation energy: 222 kJ/mol of formula units
- Fermi-level density of states: 1.07 states/eV per cell
- SG: P4/mmm

a b c (Å): 4.7128 6.0517 4.7128
angles (deg): 90.00 90.00 90.00
Atoms (fractional coordinates):
I 0.0000 0.5000 0.0000
Si 0.0000 0.0000 0.5000
Si 0.5000 0.0000 0.0000
W 0.0000 0.0000 0.0000
Li 0.5000 0.5000 0.5000